Density functional theory data (PBE) for a relaxed Na4Tl6Sn crystal.

```
data_Na4Tl6Sn
_chemical_formula_sum 'Na16 Tl24 Sn4'
_cell_length_a 9.012
_cell_length_b 9.218
_cell_length_c 16.463
_cell_angle_alpha 90.00
_cell_angle_beta 90.00
_cell_angle_gamma 90.00
_symmetry_space_group_name_H-M 'F m m 2'
_symmetry_Int_Tables_number 42
_symmetry_space_group_name_Hall 'F 2 -2'
loop_
_atom_site_label
_atom_site_type_symbol
_atom_site_fract_x
_atom_site_fract_y
_atom_site_fract_z
_atom_site_occupancy
Na1 Na 0.000 0.196 0.000 1
Na2 Na 0.200 0.000 0.341 1
Tl1 Tl 0.000 0.191 0.802 1
Tl2 Tl 0.184 0.000 0.537 1
Tl3 Tl 0.250 0.250 0.167 1
Sn1 Sn 0.000 0.000 0.173 1
```

Values from the calculation:
DFT formation energy = -0.35 eV/f.u.
DOS at the Fermi energy = 19.75 states/eV/cell